The following is a DFT calculation (PBE with a Hubbard U) of an optimized crystal structure of Cs2CaMo3F12.

Output
Its symmetry is R-3m, No. 166. The total energy comes out at -96.9 eV per cell. The total magnetic moment comes out at 8.00 μB/f.u.

abc: 7.9544 7.9544 7.9544
angles: 57.61 57.61 57.61
With the nearest neighbours (Å) after each atom.
Atoms (fractional coordinates):
1 F 0.6634 0.0970 0.6634  2 Mo 2.14
2 Cs 0.6261 0.6261 0.6261  6 F 3.21-3.22
3 F 0.3366 0.3366 0.9030  2 Mo 2.14
4 Ca 0.0000 0.0000 0.0000  6 F 2.26
5 F 0.6634 0.6634 0.0970  2 Mo 2.14
6 F 0.9172 0.9172 0.3488  1 Mo 2.12, 1 Ca 2.26
7 F 0.9030 0.3366 0.3366  2 Mo 2.14
8 F 0.3366 0.9030 0.3366  2 Mo 2.14
9 F 0.0828 0.0828 0.6512  1 Mo 2.12, 1 Ca 2.26
10 F 0.9172 0.3488 0.9172  1 Mo 2.12, 1 Ca 2.26
11 Mo 0.5000 0.0000 0.0000  6 F 2.12-2.14
12 F 0.3488 0.9172 0.9172  1 Mo 2.12, 1 Ca 2.26
13 F 0.6512 0.0828 0.0828  1 Mo 2.12, 1 Ca 2.26
14 Mo 0.0000 0.0000 0.5000  6 F 2.12-2.14
15 F 0.0970 0.6634 0.6634  2 Mo 2.14
16 F 0.0828 0.6512 0.0828  1 Mo 2.12, 1 Ca 2.26
17 Mo 0.0000 0.5000 0.0000  6 F 2.12-2.14
18 Cs 0.3739 0.3739 0.3739  6 F 3.21-3.22